#i
First-principles (PBE-GGA) data for a relaxed TlTeCl3 crystal, as listed in Alexandria via LeMat-Bulk.

Cell: 5.4679 5.4679 5.4679 Å, 90.00 90.00 90.00°
With the nearest neighbours (Å) after each atom.
Space group Pm-3m (No. 221)
Unique sites:
Tl  0.0000  0.0000  0.0000 (multiplicity 1)  6 Cl 2.73
Te  0.5000  0.5000  0.5000 (multiplicity 1)  12 Cl 3.87
Cl  0.0000  0.0000  0.5000 (multiplicity 3)  2 Tl 2.73

Results
Theoretical density   4.45 g/cm3

---

#ii
First-principles (PBE-GGA) data for a relaxed TlTeCl3 crystal, as listed in Alexandria via LeMat-Bulk.

Cell: 4.7819 8.8844 9.1695 Å, 104.07 101.84 102.65°
With the nearest neighbours (Å) after each atom.
Space group P1 (No. 1)
Unique sites:
Tl  0.0000  0.0000  0.0000 (multiplicity 1)  7 Cl 3.25-3.58
Tl  0.0257  0.4569  0.6040 (multiplicity 1)  7 Cl 3.25-3.57
Te  0.4352  0.8986  0.4755 (multiplicity 1)  3 Cl 2.48-2.77
Te  0.5890  0.5581  0.1288 (multiplicity 1)  3 Cl 2.48-2.77
Cl  0.3479  0.8854  0.7351 (multiplicity 1)  1 Te 2.53
Cl  0.3840  0.1757  0.5027 (multiplicity 1)  1 Te 2.48
Cl  0.5005  0.5822  0.4218 (multiplicity 1)  2 Te 2.77-2.83
Cl  0.5233  0.8746  0.1823 (multiplicity 1)  2 Te 2.77-2.83
Cl  0.6411  0.2814  0.1028 (multiplicity 1)  1 Te 2.48
Cl  0.6766  0.5708  0.8692 (multiplicity 1)  1 Te 2.53

Results
Theoretical density   4.10 g/cm3

---

#iii
First-principles (PBE-GGA) data for a relaxed TlTeCl3 crystal, as listed in Alexandria via LeMat-Bulk.

Cell: 5.5410 5.5410 5.5410 Å, 90.00 90.00 90.00°
With the nearest neighbours (Å) after each atom.
Space group Pm-3m (No. 221)
Unique sites:
Tl  0.0000  0.0000  0.0000 (multiplicity 1)  12 Cl 3.92
Te  0.5000  0.5000  0.5000 (multiplicity 1)  6 Cl 2.77
Cl  0.0000  0.5000  0.5000 (multiplicity 3)  2 Te 2.77

Results
Theoretical density   4.28 g/cm3

---

The structure with the least stability is #i.